1.
This record from OQMD describes a relaxed Rb3ZrP2 crystal. The functional is GGA-PBE.

Cell: 8.2233 15.4622 6.8271 Å, 90.00 90.00 90.00°
Space group Ibam (No. 72)
Unique sites:
Rb  0.0000  0.0000  0.2500
Rb  0.2044  0.3074  0.0000
Zr  0.0000  0.5000  0.2500
P  0.1721  0.4116  0.5000

Calculated values
**Energy**: -4.205 eV per atom
**Total magnetic moment**: 0.748 μB per formula unit

---

2.
This record from OQMD describes a relaxed Re2P5 crystal. The functional is GGA-PBE.

Cell: 7.3696 8.2715 8.3806 Å, 69.79 67.73 87.07°
Space group P-1 (No. 2)
Unique sites:
Re  0.0561  0.0882  0.0976
Re  0.1784  0.5196  0.2505
Re  0.3037  0.1417  0.7096
Re  0.4259  0.5777  0.8573
P  0.0236  0.7811  0.1689
P  0.1072  0.4141  0.0482
P  0.1365  0.0403  0.3674
P  0.1607  0.5834  0.5206
P  0.2713  0.8429  0.7403
P  0.2810  0.2525  0.4047
P  0.3202  0.8350  0.4642
P  0.3756  0.4510  0.6372
P  0.3980  0.0844  0.9534
P  0.4656  0.6935  0.0552

Calculated values
**Energy**: -7.770 eV per atom
**Total magnetic moment**: 0.000 μB per formula unit

---

3.
This record from OQMD describes a relaxed Re6P13 crystal. The functional is GGA-PBE.

Cell: 15.7381 15.7381 8.3751 Å, 90.00 90.00 120.00°
Space group R-3 (No. 148, hexagonal axes)
Unique sites:
Re  0.0229  0.5560  0.1459
Re  0.0413  0.8546  0.1888
P  0.0000  0.0000  0.1315
P  0.0104  0.1982  0.0862
P  0.0147  0.4004  0.1058
P  0.0517  0.9097  0.4454
P  0.0715  0.5394  0.4277

Calculated values
**Energy**: -7.979 eV per atom
**Total magnetic moment**: 0.136 μB per formula unit

---

4.
This record from OQMD describes a relaxed ReP2 crystal. The functional is GGA-PBE.

Cell: 6.8639 6.8639 6.8639 Å, 90.00 90.00 90.00°
Space group Fd-3m (No. 227, origin choice 2)
Unique sites:
Re  0.1250  0.1250  0.1250
P  0.0000  0.0000  0.5000

Calculated values
**Energy**: -6.670 eV per atom
**Total magnetic moment**: 0.000 μB per formula unit

---

5.
This record from OQMD describes a relaxed ReP2 crystal. The functional is GGA-PBE.

Cell: 5.7434 5.7434 5.7434 Å, 90.00 90.00 90.00°
Space group Fm-3m (No. 225)
Unique sites:
Re  0.0000  0.0000  0.0000
P  0.2500  0.2500  0.2500

Calculated values
**Energy**: -7.598 eV per atom
**Total magnetic moment**: 0.002 μB per formula unit

---

6.
This record from OQMD describes a relaxed Re2P crystal. The functional is GGA-PBE.

Cell: 10.3291 10.3291 10.3291 Å, 90.00 90.00 90.00°
Space group Fd-3m (No. 227, origin choice 2)
Unique sites:
Re  0.0000  0.0000  0.0000
P  0.1250  0.1250  0.1250

Calculated values
**Energy**: -6.858 eV per atom
**Total magnetic moment**: 4.810 μB per formula unit

---

7.
This record from OQMD describes a relaxed Re2P crystal. The functional is GGA-PBE.

Cell: 5.6387 5.6387 5.6387 Å, 90.00 90.00 90.00°
Space group Fm-3m (No. 225)
Unique sites:
Re  0.2500  0.2500  0.2500
P  0.0000  0.0000  0.0000

Calculated values
**Energy**: -9.764 eV per atom
**Total magnetic moment**: 0.015 μB per formula unit

---

8.
This record from OQMD describes a relaxed ReP2 crystal. The functional is GGA-PBE.

Cell: 10.1702 10.1702 10.1702 Å, 90.00 90.00 90.00°
Space group Fd-3m (No. 227, origin choice 2)
Unique sites:
Re  0.1250  0.1250  0.1250
P  0.0000  0.0000  0.0000

Calculated values
**Energy**: -7.335 eV per atom
**Total magnetic moment**: 0.000 μB per formula unit

---

9.
This record from OQMD describes a relaxed Re2P crystal. The functional is GGA-PBE.

Cell: 7.3126 7.3126 7.3126 Å, 90.00 90.00 90.00°
Space group Fd-3m (No. 227, origin choice 2)
Unique sites:
Re  0.0000  0.0000  0.0000
P  0.1250  0.1250  0.6250

Calculated values
**Energy**: -9.013 eV per atom
**Total magnetic moment**: 0.006 μB per formula unit

---

10.
This record from OQMD describes a relaxed TlRePS5 crystal. The functional is GGA-PBE.

Cell: 6.5645 6.5979 9.6377 Å, 106.85 100.25 91.15°
Space group P-1 (No. 2)
Unique sites:
Tl  0.2220  0.2012  0.4525
Re  0.9997  0.1955  0.9998
P  0.2199  0.6158  0.2627
S  0.0930  0.4381  0.8497
S  0.1495  0.9371  0.8443
S  0.2692  0.7102  0.4828
S  0.3288  0.3239  0.1712
S  0.3295  0.8342  0.1716

Calculated values
**Energy**: -5.445 eV per atom
**Total magnetic moment**: 0.001 μB per formula unit

---

11.
This record from OQMD describes a relaxed Sr2TaReP6 crystal. The functional is GGA-PBE.

Cell: 6.2782 6.5909 11.5902 Å, 90.00 120.40 90.00°
Space group P2_1/c (No. 14)
Unique sites:
Sr  0.1744  0.0931  0.2326
Ta  0.5000  0.0000  0.0000
Re  0.0000  0.0000  0.5000
P  0.1600  0.1901  0.9842
P  0.2959  0.5375  0.2460
P  0.3707  0.6224  0.9954

Calculated values
**Energy**: -6.389 eV per atom
**Total magnetic moment**: 0.011 μB per formula unit

---

12.
This record from OQMD describes a relaxed TlRe3P5 crystal. The functional is GGA-PBE.

Cell: 5.3315 5.3315 7.3923 Å, 90.00 90.00 120.00°
Space group P6/mmm (No. 191)
Unique sites:
Tl  0.0000  0.0000  0.0000
Re  0.0000  0.5000  0.5000
P  0.0000  0.0000  0.5000
P  0.3333  0.6667  0.2388

Calculated values
**Energy**: -7.052 eV per atom
**Total magnetic moment**: 0.163 μB per formula unit